1.
Compound: ZrCd2W
Source: Alexandria
Functional: SCAN
Structure: PBEsol geometry

Properties
The energy above the most stable polymorph in this dataset is 0.068 eV per atom. The density of states at the Fermi level comes out at 1.65 states/eV/atom. The space group is F-43m (216). The value obtained for the total energy is -39.74 eV/atom. The magnetization is 0.01 μB per cell.

Cell: 4.7657 4.7657 4.7657 Å, 60.00 60.00 60.00°
Sites, in units of the cell vectors:
Zr 0.0000 0.0000 0.0000
Cd 0.5000 0.5000 0.5000
Cd 0.7500 0.7500 0.7500
W 0.2500 0.2500 0.2500

2.
Compound: ZrCdW2
Source: Alexandria
Functional: SCAN
Structure: PBEsol geometry

Properties
The density of states at the Fermi level comes out at 0.66 states/eV/atom. The space group is C2/m (12). The value obtained for the total energy is -49.74 eV/atom. The magnetization is 0.00 μB per cell.

Cell: 5.5890 5.5890 2.7304 Å, 100.32 100.32 118.72°
Sites, in units of the cell vectors:
Zr 0.0000 0.0000 0.0000
Cd 0.5000 0.5000 0.0000
W 0.0000 0.5000 0.5000
W 0.5000 0.0000 0.5000

3.
Compound: ZrCdW2
Source: Alexandria
Functional: SCAN
Structure: PBEsol geometry

Properties
The density of states at the Fermi level comes out at 0.68 states/eV/atom. The space group is Pmm2 (25). The value obtained for the total energy is -49.72 eV/atom. The magnetization is 0.00 μB per cell.

Cell: 2.7349 4.3517 5.9773 Å, 90.00 90.00 90.00°
Sites, in units of the cell vectors:
Zr 0.0000 0.0000 0.0000
Cd 0.5000 0.5000 0.2585
W 0.0000 0.0000 0.5218
W 0.5000 0.5000 0.7359

4.
Compound: ZrCd2W
Source: Alexandria
Functional: SCAN
Structure: PBEsol geometry

Properties
The energy above the most stable polymorph in this dataset is 0.000 eV per atom. The density of states at the Fermi level comes out at 0.69 states/eV/atom. The space group is P4/mmm (123). The value obtained for the total energy is -39.81 eV/atom. The magnetization is 0.00 μB per cell.

Cell: 3.6193 3.6193 5.7401 Å, 90.00 90.00 90.00°
Sites, in units of the cell vectors:
Zr 0.0000 0.0000 0.0000
Cd 0.5000 0.5000 0.2608
Cd 0.5000 0.5000 0.7392
W 0.0000 0.0000 0.5000

5.
Compound: ZrCd3W
Source: Alexandria
Functional: SCAN
Structure: PBEsol geometry

Properties
The density of states at the Fermi level comes out at 0.29 states/eV/atom. The space group is Pm-3m (221). The value obtained for the total energy is -36.97 eV/atom. The magnetization is 0.00 μB per cell.

Cell: 5.0379 5.0379 5.0379 Å, 90.00 90.00 90.00°
Sites, in units of the cell vectors:
Zr 0.0000 0.0000 0.0000
Cd 0.0000 0.5000 0.5000
Cd 0.5000 0.0000 0.5000
Cd 0.5000 0.5000 0.0000
W 0.5000 0.5000 0.5000

6.
Compound: ZrCdW2
Source: Alexandria
Functional: SCAN
Structure: PBEsol geometry

Properties
The density of states at the Fermi level comes out at 0.66 states/eV/atom. The space group is P4/mmm (123). The value obtained for the total energy is -49.46 eV/atom. The magnetization is 0.00 μB per cell.

Cell: 3.4379 3.4379 5.9657 Å, 90.00 90.00 90.00°
Sites, in units of the cell vectors:
Zr 0.0000 0.0000 0.0000
Cd 0.0000 0.0000 0.5000
W 0.5000 0.5000 0.2496
W 0.5000 0.5000 0.7504

7.
Compound: ZrCdW2
Source: Alexandria
Functional: SCAN
Structure: PBEsol geometry

Properties
The density of states at the Fermi level comes out at 0.70 states/eV/atom. The space group is Cm (8). The value obtained for the total energy is -49.66 eV/atom. The magnetization is 0.00 μB per cell.

Cell: 4.9935 4.9935 5.4572 Å, 94.10 94.10 31.59°
Sites, in units of the cell vectors:
Zr 0.0000 0.0000 0.0000
Cd 0.2512 0.2512 0.7522
W 0.5088 0.5088 0.4882
W 0.7564 0.7564 0.2696

8.
Compound: YCd3
Source: Alexandria
Functional: SCAN
Structure: PBEsol geometry

Properties
The density of states at the Fermi level comes out at 0.44 states/eV/atom. The space group is Cmcm (63). The value obtained for the total energy is -30.16 eV/atom. The magnetization is 0.00 μB per cell.

Cell: 6.4209 6.4209 4.7977 Å, 90.00 90.00 115.27°
Sites, in units of the cell vectors:
Y 0.1423 0.8577 0.7500
Y 0.8577 0.1423 0.2500
Cd 0.1908 0.3714 0.7500
Cd 0.3277 0.6723 0.2500
Cd 0.3714 0.1908 0.2500
Cd 0.6286 0.8092 0.7500
Cd 0.6723 0.3277 0.7500
Cd 0.8092 0.6286 0.2500

9.
Compound: YCd3
Source: Alexandria
Functional: SCAN
Structure: PBEsol geometry

Properties
The density of states at the Fermi level comes out at 0.48 states/eV/atom. The space group is I4/mmm (139). The value obtained for the total energy is -30.10 eV/atom. The magnetization is 0.00 μB per cell.

Cell: 8.8201 8.8201 8.8201 Å, 149.27 149.27 44.02°
Sites, in units of the cell vectors:
Y 0.1299 0.1299 0.0000
Y 0.8701 0.8701 0.0000
Cd 0.0000 0.5000 0.5000
Cd 0.2500 0.7500 0.5000
Cd 0.3704 0.3704 0.0000
Cd 0.5000 0.0000 0.5000
Cd 0.6296 0.6296 0.0000
Cd 0.7500 0.2500 0.5000

10.
Compound: Y3Cd
Source: Alexandria
Functional: SCAN
Structure: PBEsol geometry

Properties
The energy above the most stable polymorph in this dataset is 0.000 eV per atom. The density of states at the Fermi level comes out at 0.86 states/eV/atom. The space group is Immm (71). The value obtained for the total energy is -28.72 eV/atom. The magnetization is 0.00 μB per cell.

Cell: 6.5075 6.5075 6.5075 Å, 146.51 132.06 59.75°
Sites, in units of the cell vectors:
Y 0.0000 0.0000 0.0000
Y 0.2781 0.7781 0.5000
Y 0.7219 0.2219 0.5000
Cd 0.5000 0.5000 0.0000

11.
Compound: YCd22
Source: Alexandria
Functional: SCAN
Structure: PBEsol geometry

Properties
The density of states at the Fermi level comes out at 0.26 states/eV/atom. The space group is Fd-3m (227). The value obtained for the total energy is -30.36 eV/atom. The magnetization is 0.00 μB per cell.

Cell: 11.1406 11.1406 11.1406 Å, 60.00 60.00 60.00°
Sites, in units of the cell vectors:
Y 0.1250 0.1250 0.1250
Y 0.8750 0.8750 0.8750
Cd 0.0000 0.0000 0.0000
Cd 0.0000 0.0000 0.5000
Cd 0.0000 0.5000 0.0000
Cd 0.0000 0.5000 0.5000
Cd 0.0580 0.3183 0.3183
Cd 0.0580 0.3183 0.8055
Cd 0.0580 0.8055 0.3183
Cd 0.1945 0.6817 0.6817
Cd 0.1945 0.6817 0.9420
Cd 0.1945 0.9420 0.6817
Cd 0.2339 0.2339 0.5161
Cd 0.2339 0.5161 0.2339
Cd 0.2339 0.5161 0.5161
Cd 0.3183 0.0580 0.3183
Cd 0.3183 0.0580 0.8055
Cd 0.3183 0.3183 0.0580
Cd 0.3183 0.3183 0.8055
Cd 0.3183 0.8055 0.0580
Cd 0.3183 0.8055 0.3183
Cd 0.4839 0.4839 0.7661
Cd 0.4839 0.7661 0.4839
Cd 0.4839 0.7661 0.7661
Cd 0.5000 0.0000 0.0000
Cd 0.5000 0.0000 0.5000
Cd 0.5000 0.5000 0.0000
Cd 0.5000 0.5000 0.5000
Cd 0.5161 0.2339 0.2339
Cd 0.5161 0.2339 0.5161
Cd 0.5161 0.5161 0.2339
Cd 0.6817 0.1945 0.6817
Cd 0.6817 0.1945 0.9420
Cd 0.6817 0.6817 0.1945
Cd 0.6817 0.6817 0.9420
Cd 0.6817 0.9420 0.1945
Cd 0.6817 0.9420 0.6817
Cd 0.7661 0.4839 0.4839
Cd 0.7661 0.4839 0.7661
Cd 0.7661 0.7661 0.4839
Cd 0.8055 0.0580 0.3183
Cd 0.8055 0.3183 0.0580
Cd 0.8055 0.3183 0.3183
Cd 0.9420 0.1945 0.6817
Cd 0.9420 0.6817 0.1945
Cd 0.9420 0.6817 0.6817

12.
Compound: YCd3
Source: Alexandria
Functional: SCAN
Structure: PBEsol geometry

Properties
The density of states at the Fermi level comes out at 0.65 states/eV/atom. The space group is P-6m2 (187). The value obtained for the total energy is -29.85 eV/atom. The magnetization is 0.00 μB per cell.

Cell: 3.3206 3.3206 9.7879 Å, 90.00 90.00 120.00°
Sites, in units of the cell vectors:
Y 0.0000 0.0000 0.0000
Cd 0.0000 0.0000 0.5000
Cd 0.3333 0.6667 0.2625
Cd 0.3333 0.6667 0.7375

no.,formation energy (eV/atom)
1,0.560
2,0.385
3,0.405
4,0.492
5,1.358
6,0.660
7,0.465
8,-0.386
9,-0.324
10,-0.233
11,-0.057
12,-0.076